(1)
An optimized crystal structure of GeWN2O, computed with PBE+U.

space group	P4/mmm, No. 123

extended XYZ file:
```
5
Lattice="3.8961 0.0000 0.0000 0.0000 3.8961 0.0000 0.0000 0.0000 3.5187" Properties=species:S:1:pos:R:3 pbc="T T T"
Ge 0.0000 0.0000 0.0000
W 1.9480 1.9480 1.7594
N 0.0000 1.9480 0.0000
N 1.9480 0.0000 0.0000
O 0.0000 0.0000 1.7594
```

(2)
An optimized crystal structure of GeWN2O, computed with PBE+U.

space group	P4/mmm, No. 123

extended XYZ file:
```
5
Lattice="4.0268 0.0000 0.0000 0.0000 4.0268 0.0000 0.0000 0.0000 3.9053" Properties=species:S:1:pos:R:3 pbc="T T T"
Ge 0.0000 0.0000 0.0000
W 2.0134 2.0134 1.9527
N 0.0000 2.0134 1.9527
N 2.0134 0.0000 1.9527
O 2.0134 2.0134 0.0000
```

(3)
An optimized crystal structure of GeWNO2, computed with PBE+U.

space group	P4/mmm, No. 123

extended XYZ file:
```
5
Lattice="3.6229 0.0000 0.0000 0.0000 3.6229 0.0000 0.0000 0.0000 4.1899" Properties=species:S:1:pos:R:3 pbc="T T T"
Ge 0.0000 0.0000 0.0000
W 1.8115 1.8115 2.0950
N 0.0000 0.0000 2.0950
O 0.0000 1.8115 0.0000
O 1.8115 0.0000 0.0000
```

(4)
An optimized crystal structure of GeWNO2, computed with PBE+U.

space group	P4/mmm, No. 123

extended XYZ file:
```
5
Lattice="4.0211 0.0000 0.0000 0.0000 4.0211 0.0000 0.0000 0.0000 4.0179" Properties=species:S:1:pos:R:3 pbc="T T T"
Ge 0.0000 0.0000 0.0000
W 2.0106 2.0106 2.0089
N 2.0106 2.0106 0.0000
O 0.0000 2.0106 2.0089
O 2.0106 0.0000 2.0089
```

| no. | total DFT energy (no corrections) (eV/atom) | M_tot (μB/cell) |
| --- | --- | --- |
| 1 | -6.1325 | 2.0 |
| 2 | -6.7689 | 0.0 |
| 3 | -6.1959 | 3.0 |
| 4 | -6.6784 | 1.0 |